A relaxed structure of NiSbOsO, computed with GGA+U.

Cell lengths 2.9144, 5.8463, 3.7715 Å; angles 89.99, 89.99, 75.63 degrees
Fractional coordinates of all 4 atoms:
Ni 0.1217 0.3614 0.9729
Sb 0.4183 0.7660 0.9726
Os 0.7876 0.0264 0.4726
O 0.1609 0.2813 0.4729

Computed properties:
ρ in g cm⁻³: 10.3
D(E_F) in states/eV per cell: 1.520
Distance to the lowest polymorph of the same formula in meV per atom: 0.0